A plane-wave DFT calculation with PBE was carried out for a relaxed HgSeBr2 crystal.

Calculated values
ΔE to the lowest computed polymorph	0.000	eV/atom
magnetic moment	0.000	μB/atom
electronic total energy	-1.961	eV per atom
uncorrected formation energy	-178	meV per atom
symmetry	No. 6
crystal system	monoclinic

Unit cell a=4.9680 b=4.5654 c=6.5713 alpha=90.00 beta=109.51 gamma=90.00
Last column: nearest neighbours and their distance in Å.
Element x y z (fractional)
1 Hg 0.0000 0.0000 0.0000  2 Se 2.71, 2 Br 2.81
2 Se 0.1108 0.5000 0.2367  1 Br 2.41
3 Br 0.4061 0.0000 0.7868  2 Hg 2.81
4 Br 0.7031 0.5000 0.3585  1 Se 2.41


A plane-wave DFT calculation with PBE was carried out for a relaxed SmSi4Pd12 crystal.

Calculated values
magnetic moment	0.000	μB/atom
electronic total energy	-5.681	eV per atom
uncorrected formation energy	-462	meV per atom
symmetry	No. 204
crystal system	cubic
DOS at the Fermi energy	5.93	states/eV/cell

Unit cell a=7.2614 b=7.2614 c=7.2614 alpha=109.47 beta=109.47 gamma=109.47
Last column: nearest neighbours and their distance in Å.
Element x y z (fractional)
1 Sm 0.0000 0.0000 0.0000  12 Pd 3.17
2 Si 0.0000 0.0000 0.5000  6 Pd 2.33
3 Si 0.0000 0.5000 0.0000  6 Pd 2.33
4 Si 0.5000 0.0000 0.0000  6 Pd 2.33
5 Si 0.5000 0.5000 0.5000  6 Pd 2.33
6 Pd 0.1659 0.3392 0.5051  2 Si 2.33
7 Pd 0.1659 0.6608 0.8267  2 Si 2.33
8 Pd 0.1733 0.8341 0.3392  2 Si 2.33
9 Pd 0.3392 0.1733 0.8341  2 Si 2.33
10 Pd 0.3392 0.5051 0.1659  2 Si 2.33
11 Pd 0.4949 0.8341 0.6608  2 Si 2.33
12 Pd 0.5051 0.1659 0.3392  2 Si 2.33
13 Pd 0.6608 0.4949 0.8341  2 Si 2.33
14 Pd 0.6608 0.8267 0.1659  2 Si 2.33
15 Pd 0.8267 0.1659 0.6608  2 Si 2.33
16 Pd 0.8341 0.3392 0.1733  2 Si 2.33
17 Pd 0.8341 0.6608 0.4949  2 Si 2.33